# 1
A relaxed structure of Ac7GePt5, computed with GGA-PBE.

Unit cell a=4.4170 b=14.5570 c=26.0092 alpha=90.00 beta=90.00 gamma=90.00
Closest atoms and distances in Å follow each position.
Space group Cmcm (No. 63)
Inequivalent atoms, fractional coordinates:
Ac1 0.0000 0.0531 0.2500 [4 per cell]  2 Pt 3.04, 2 Ge 3.19
Ac2 0.0000 0.1350 0.5366 [8 per cell]  6 Pt 3.11-3.15
Ac3 0.0000 0.3198 0.1746 [8 per cell]  3 Pt 2.99-3.09
Ac4 0.0000 0.4089 0.6061 [8 per cell]  5 Pt 3.06-3.10
Ge1 0.0000 0.2892 0.7500 [4 per cell]  6 Ac 3.19-3.35
Pt1 0.0000 0.0410 0.6457 [8 per cell]  6 Ac 3.04-3.15
Pt2 0.0000 0.2267 0.0723 [8 per cell]  6 Ac 2.99-3.13
Pt3 0.0000 0.5000 0.0000 [4 per cell]  6 Ac 3.06-3.11

Values from the calculation:
For the density of states at the Fermi level, the calculation gives 26.31 states/eV/cell. For the formation energy, the calculation gives -1.039 eV per atom.

=====

# 2
A relaxed structure of FeAgSN2, computed with GGA-PBE.

Unit cell a=3.9650 b=3.9650 c=5.3050 alpha=90.00 beta=90.00 gamma=90.00
Closest atoms and distances in Å follow each position.
Space group P4/mmm (No. 123)
Inequivalent atoms, fractional coordinates:
Fe1 0.0000 0.0000 0.0000 [1 per cell]  4 S 2.80
Ag1 0.5000 0.5000 0.5000 [1 per cell]  4 N 1.98
S1 0.5000 0.5000 0.0000 [1 per cell]  2 Ag 2.65, 4 Fe 2.80
N1 0.0000 0.5000 0.5000 [2 per cell]  2 Ag 1.98

Values from the calculation:
The raw formation energy is 2.025 eV/atom. The calculation puts the polymorph energy (0 for the lowest one) at 1248 meV/atom. For the density of states at the Fermi level, the calculation gives 5.93 states/eV/cell.

=====

# 3
A relaxed structure of CuOsF2, computed with GGA-PBE.

Unit cell a=7.0145 b=7.0145 c=4.8770 alpha=90.00 beta=90.00 gamma=90.00
Closest atoms and distances in Å follow each position.
Space group I-42d (No. 122)
Inequivalent atoms, fractional coordinates:
Cu1 0.0000 0.0000 0.0000 [4 per cell]  2 Os 2.44, 4 F 2.72
Os1 0.0000 0.0000 0.5000 [4 per cell]  4 F 2.11
F1 0.1425 0.7500 0.6250 [8 per cell]  2 Os 2.11

Values from the calculation:
The raw formation energy is 0.185 eV/atom. The calculation puts the polymorph energy (0 for the lowest one) at 804 meV/atom. For the density of states at the Fermi level, the calculation gives 13.76 states/eV/cell.

=====

# 4
A relaxed structure of Ba3NO, computed with GGA-PBE.

Unit cell a=6.9132 b=4.2012 c=11.2284 alpha=90.00 beta=100.50 gamma=90.00
Closest atoms and distances in Å follow each position.
Space group P2_1/m (No. 11)
Inequivalent atoms, fractional coordinates:
Ba1 0.1858 0.2500 0.1166 [2 per cell]  2 N 2.57
Ba2 0.2790 0.7500 0.4073 [2 per cell]  1 N 2.60, 2 O 2.75
Ba3 0.3052 0.2500 0.7582 [2 per cell]  1 N 2.52
N1 0.0408 0.7500 0.1990 [2 per cell]  4 Ba 2.52-2.60
O1 0.4857 0.2500 0.3346 [2 per cell]  6 Ba 2.75-3.05

Values from the calculation:
The raw formation energy is -1.107 eV/atom. The calculation puts the polymorph energy (0 for the lowest one) at 59 meV/atom. For the density of states at the Fermi level, the calculation gives 3.31 states/eV/cell.